No. 1
This record from the Alexandria database describes a relaxed Be4PbBr crystal. The functional is GGA-PBEsol.

Cell: 5.033 5.033 5.033 Å, 60.00 60.00 60.00°
Fractional positions:
Be: 0.370 0.891 0.370
Be: 0.370 0.370 0.370
Be: 0.891 0.370 0.370
Be: 0.370 0.370 0.891
Pb: 0.000 0.000 0.000
Br: 0.750 0.750 0.750

Computed properties:
total moment = 0.0 μB per formula unit
crystal system = cubic
symmetry = F-43m (216)



No. 2
This record from the Alexandria database describes a relaxed Be2PdBr crystal. The functional is GGA-PBEsol.

Cell: 5.583 5.813 5.583 Å, 61.30 90.00 118.70°
Fractional positions:
Be: 0.875 0.250 0.644
Be: 0.375 0.250 0.106
Be: 0.106 0.750 0.875
Be: 0.644 0.750 0.375
Br: 0.250 0.500 0.250
Br: 0.500 0.000 0.500
Pd: 0.750 0.500 0.750
Pd: 0.000 0.000 0.000

Computed properties:
total moment = 0.0 μB per formula unit
crystal system = tetragonal
symmetry = I-42d (122)



No. 3
This record from the Alexandria database describes a relaxed BePd3Br crystal. The functional is GGA-PBEsol.

Cell: 4.634 4.634 4.634 Å, 90.00 90.00 90.00°
Fractional positions:
Be: 0.500 0.500 0.500
Br: 0.000 0.000 0.000
Pd: 0.000 0.500 0.000
Pd: 0.500 0.000 0.000
Pd: 0.000 0.000 0.500

Computed properties:
total moment = 0.0 μB per formula unit
crystal system = cubic
symmetry = Pm-3m (221)



Summary of formation energy (no corrections) in eV per atom
0.72, 0.24, 0.99
(order as listed above)
Summary of VASP energy in eV per atom
-2.93, -3.72, -3.76
(order as listed above)